[1]
! GGA-PBE La2CuSn4, optimized geometry; values from VASP
! **Excess energy over the best structure of this formula in the dataset**: 0 meV per atom
! **V**: 27.1 A^3/atom
! **Space-group type**: Amm2, No. 38
! **Electronic total energy**: -4.897 eV per atom
&SYSTEM
  ibrav = 0, nat = 7, ntyp = 3
/
ATOMIC_SPECIES
La 138.91 La.upf
Cu 63.55 Cu.upf
Sn 118.71 Sn.upf
CELL_PARAMETERS angstrom
-8.393 4.437 -0.086
7.243 -4.192 4.483
2.103 3.986 0.328
ATOMIC_POSITIONS angstrom
La 5.734 -3.359 4.042
La -5.561 5.447 0.598
Cu 2.380 -1.508 3.062
Sn -4.221 2.134 1.133
Sn 4.638 -0.181 3.579
Sn 0.212 -0.312 2.428
Sn -0.299 2.543 2.136

---

[2]
! GGA-PBE LaCu3Sn3, optimized geometry; values from VASP
! **Excess energy over the best structure of this formula in the dataset**: 0 meV per atom
! **V**: 23.1 A^3/atom
! **Space-group type**: R-3, No. 148
! **Electronic total energy**: -4.285 eV per atom
&SYSTEM
  ibrav = 0, nat = 14, ntyp = 3
/
ATOMIC_SPECIES
La 138.91 La.upf
Cu 63.55 Cu.upf
Sn 118.71 Sn.upf
CELL_PARAMETERS angstrom
7.022 0.000 0.000
3.511 6.082 0.000
3.511 2.027 7.588
ATOMIC_POSITIONS angstrom
La 7.022 4.054 7.433
La 7.022 4.054 0.155
Cu 7.905 5.309 4.772
Cu 7.668 2.663 4.772
Cu 5.494 4.191 4.772
Cu 8.550 3.918 2.817
Cu 6.377 5.446 2.817
Cu 6.140 2.799 2.817
Sn 4.012 4.297 2.163
Sn 8.317 1.326 2.163
Sn 8.738 6.540 2.163
Sn 5.307 1.569 5.425
Sn 5.728 6.783 5.425
Sn 10.033 3.811 5.425

---

[3]
! GGA-PBE La2CuSn, optimized geometry; values from VASP
! **V**: 28.6 A^3/atom
! **Space-group type**: I-42d, No. 122
! **Electronic total energy**: -4.679 eV per atom
&SYSTEM
  ibrav = 0, nat = 8, ntyp = 3
/
ATOMIC_SPECIES
Sn 118.71 Sn.upf
Cu 63.55 Cu.upf
La 138.91 La.upf
CELL_PARAMETERS angstrom
-1.803 -8.031 -1.903
6.654 -2.567 4.529
0.573 -5.501 3.920
ATOMIC_POSITIONS angstrom
Sn 0.000 0.000 0.000
Sn 0.598 -9.416 1.665
Cu 2.425 -5.299 1.313
Cu 4.826 -6.684 4.881
La -0.069 -6.346 0.444
La 3.993 -4.354 3.485
La 2.555 -8.219 4.133
La 4.368 -13.281 5.029

---

[4]
! GGA-PBE La2CuSn, optimized geometry; values from VASP
! **V**: 27.5 A^3/atom
! **Space-group type**: P4/mmm, No. 123
! **Electronic total energy**: -4.918 eV per atom
&SYSTEM
  ibrav = 0, nat = 4, ntyp = 3
/
ATOMIC_SPECIES
Sn 118.71 Sn.upf
Cu 63.55 Cu.upf
La 138.91 La.upf
CELL_PARAMETERS angstrom
3.714 0.000 0.000
0.000 3.714 0.000
0.000 0.000 7.964
ATOMIC_POSITIONS angstrom
Sn 1.857 1.857 3.982
Cu 1.857 1.857 0.000
La 0.000 0.000 6.140
La 0.000 0.000 1.824

---

Here are the calculated density of states at the Fermi level numbers, same order: 0.307 0.355 1.152 0.692 (states/eV per atom).